Below is an optimized crystal structure of InNiOs3, with properties calculated at the GGA-PBE level.

Cell lengths 4.480, 4.480, 4.480 Å; angles 90.00, 90.00, 90.00 degrees
Element x y z (fractional)
In: 0.000 0.000 0.000
Ni: 0.500 0.500 0.500
Os: 0.000 0.500 0.500
Os: 0.500 0.000 0.500
Os: 0.500 0.500 0.000

Calculated volume   17.98 Å³/atom
ΔE to the lowest computed polymorph   0 meV per atom
Calculated formation energy   1.73 eV/atom
Total DFT energy (no corrections)   -6.714 eV/atom
ρ   13748 kg/m³
Magnetic moment   0.7204 μB/atom